First-principles (PBE) data for PuAsP after structural relaxation, as listed in Alexandria. Values from VASP.

## Properties
The mass density comes out at 9.67 g cm⁻³. The calculation puts the formation energy at -0.546 eV per atom. The energy above the most stable polymorph in this dataset comes out at 182.8 meV/atom.

Cell and atoms, written as Quantum ESPRESSO input:
```
&SYSTEM
  ibrav = 0, nat = 3, ntyp = 3
/
ATOMIC_SPECIES
Pu 244.00 Pu.upf
As 74.92 As.upf
P 30.97 P.upf
CELL_PARAMETERS angstrom
4.3077 0.0000 0.0000
-2.1538 3.7306 0.0000
0.0000 0.0000 3.7395
ATOMIC_POSITIONS angstrom
Pu 0.0000 0.0000 0.0000
As 0.0000 2.4871 1.8697
P 2.1539 1.2435 1.8697
```


First-principles (PBE) data for Pu8AsP5 after structural relaxation, as listed in Alexandria. Values from VASP.

## Properties
The mass density comes out at 12.04 g cm⁻³. The calculation puts the formation energy at -0.955 eV per atom.

Cell and atoms, written as Quantum ESPRESSO input:
```
&SYSTEM
  ibrav = 0, nat = 14, ntyp = 3
/
ATOMIC_SPECIES
Pu 244.00 Pu.upf
As 74.92 As.upf
P 30.97 P.upf
CELL_PARAMETERS angstrom
-4.2018 4.2018 4.2623
4.2018 -4.2018 4.2623
4.2018 4.2018 -4.2623
ATOMIC_POSITIONS angstrom
Pu 5.7054 0.6453 0.4801
Pu 3.5638 2.7700 -1.6644
Pu 0.6453 2.6982 -0.4801
Pu 0.6380 1.4318 2.5980
Pu 1.4318 -0.6380 5.9267
Pu 3.5565 1.5036 3.7822
Pu 2.7700 4.8398 1.6644
Pu -1.5036 3.5565 4.7424
As 0.0000 4.2018 2.1312
P 0.0000 0.0000 0.0000
P 2.1095 -1.0786 3.2083
P 3.1232 2.0923 1.0540
P 2.0923 5.2805 -1.0540
P 1.0786 2.1095 5.3163
```


First-principles (PBE) data for Pu2AsP after structural relaxation, as listed in Alexandria. Values from VASP.

## Properties
The mass density comes out at 10.34 g cm⁻³. The calculation puts the formation energy at -1.080 eV per atom.

Cell and atoms, written as Quantum ESPRESSO input:
```
&SYSTEM
  ibrav = 0, nat = 4, ntyp = 3
/
ATOMIC_SPECIES
Pu 244.00 Pu.upf
As 74.92 As.upf
P 30.97 P.upf
CELL_PARAMETERS angstrom
2.0343 1.1745 6.6534
-2.0343 1.1745 6.6534
0.0000 -2.3490 6.6534
ATOMIC_POSITIONS angstrom
Pu 0.0000 0.0000 4.9250
Pu 0.0000 0.0000 15.0353
As 0.0000 0.0000 0.0000
P 0.0000 0.0000 9.9802
```


First-principles (PBE) data for Pu6As3P after structural relaxation, as listed in Alexandria. Values from VASP.

## Properties
The mass density comes out at 11.42 g cm⁻³. The calculation puts the formation energy at -0.611 eV per atom.

Cell and atoms, written as Quantum ESPRESSO input:
```
&SYSTEM
  ibrav = 0, nat = 10, ntyp = 3
/
ATOMIC_SPECIES
Pu 244.00 Pu.upf
As 74.92 As.upf
P 30.97 P.upf
CELL_PARAMETERS angstrom
4.6514 -3.5834 0.0000
4.6514 3.5834 0.0000
-3.5336 0.0000 7.5026
ATOMIC_POSITIONS angstrom
Pu 1.4578 2.0443 4.9851
Pu 4.3114 2.0443 2.5174
Pu 2.8108 0.0000 0.5320
Pu 2.9584 0.0000 6.9705
Pu 1.4578 -2.0443 4.9851
Pu 4.3114 -2.0443 2.5174
As 0.0000 0.0000 0.0000
As -0.6134 0.0000 5.1711
As 6.3826 0.0000 2.3315
P 2.8846 0.0000 3.7513
```